This record from the Alexandria database describes a relaxed structure of Mg2Sc5AgRh2. The functional is PBE.

The value obtained for the total energy is -0.209 Ha/atom. As for the crystal system: tetragonal. The value obtained for the formation energy is -0.45 eV/atom.

The structure in CIF format:
```
data_Mg2Sc5AgRh2
_chemical_formula_sum 'Mg4 Sc10 Ag2 Rh4'
_space_group_name_H-M_alt 'P 4/m b m'
_space_group_IT_number 127
_space_group_name_Hall '-P 4 2ab'
_cell_length_a 11.0310
_cell_length_b 11.0310
_cell_length_c 3.5072
_cell_angle_alpha 90.00
_cell_angle_beta 90.00
_cell_angle_gamma 90.00
loop_
_atom_site_label
_atom_site_fract_x
_atom_site_fract_y
_atom_site_fract_z
_atom_site_occupancy
Mg1 0.1744 0.3256 0.0000 1
Sc1 0.0000 0.5000 0.5000 1
Sc2 0.0727 0.7966 0.5000 1
Ag1 0.0000 0.0000 0.0000 1
Rh1 0.1296 0.6296 0.0000 1
```